Record 1
DFT (PBE with a Hubbard U) results for an optimized crystal structure of ScMnF2.

Computed properties:
Volume = 16.84 Å³/atom
Total DFT energy (no corrections) = -6.222 eV per atom
Symmetry = R-3m
Relative energy among the computed polymorphs = 0.127 eV per atom

abc: 6.114 6.114 6.114
angles: 35.07 35.07 35.07
Element x y z (fractional)
Mn 0.500 0.500 0.500
F 0.879 0.879 0.879
Sc 0.000 0.000 0.000
F 0.121 0.121 0.121

=====

Record 2
DFT (PBE with a Hubbard U) results for an optimized crystal structure of ScMnF5.

Computed properties:
Volume = 14.74 Å³/atom
Total DFT energy (no corrections) = -6.692 eV per atom
Symmetry = C2/c

abc: 5.553 5.553 7.841
angles: 69.09 69.09 72.03
Element x y z (fractional)
Mn 0.529 0.471 0.750
F 0.792 0.716 0.633
Sc 0.000 0.000 0.500
F 0.893 0.107 0.750
F 0.716 0.792 0.133
F 0.677 0.281 0.457
F 0.281 0.677 0.957
F 0.107 0.893 0.250
Mn 0.471 0.529 0.250
Sc 0.000 0.000 0.000
F 0.208 0.284 0.367
F 0.719 0.323 0.043
F 0.323 0.719 0.543
F 0.284 0.208 0.867

=====

Record 3
DFT (PBE with a Hubbard U) results for an optimized crystal structure of Sc3MnF.

Computed properties:
Volume = 25.68 Å³/atom
Total DFT energy (no corrections) = -5.331 eV per atom
Symmetry = Pm-3m
Relative energy among the computed polymorphs = 1.106 eV per atom

abc: 5.045 5.045 5.045
angles: 90.00 90.00 90.00
Element x y z (fractional)
Sc 0.000 0.500 0.000
Mn 0.000 0.000 0.000
F 0.500 0.500 0.500
Sc 0.000 0.000 0.500
Sc 0.500 0.000 0.000

=====

Record 4
DFT (PBE with a Hubbard U) results for an optimized crystal structure of ScMnSnF2.

Computed properties:
Volume = 20.62 Å³/atom
Total DFT energy (no corrections) = -6.190 eV per atom
Symmetry = P4/mmm

abc: 4.048 6.293 4.048
angles: 90.00 90.00 90.00
Element x y z (fractional)
F 0.500 0.000 0.000
Mn 0.500 0.500 0.500
Sn 0.000 0.500 0.000
F 0.000 0.000 0.500
Sc 0.000 0.000 0.000

=====

Record 5
DFT (PBE with a Hubbard U) results for an optimized crystal structure of ScMnTe2F.

Computed properties:
Volume = 25.13 Å³/atom
Total DFT energy (no corrections) = -5.179 eV per atom
Symmetry = P4/mmm

abc: 5.694 3.877 5.694
angles: 90.00 90.00 90.00
Element x y z (fractional)
Te 0.500 0.000 0.000
Sc 0.000 0.500 0.000
Mn 0.500 0.500 0.500
Te 0.000 0.000 0.500
F 0.000 0.000 0.000

=====

Record 6
DFT (PBE with a Hubbard U) results for an optimized crystal structure of ScMnTlF6.

Computed properties:
Volume = 18.48 Å³/atom
Total DFT energy (no corrections) = -6.111 eV per atom
Symmetry = P312

abc: 5.705 5.704 5.902
angles: 90.00 89.99 59.98
Element x y z (fractional)
F 0.609 0.014 0.309
Tl 0.000 0.000 0.000
F 0.609 0.377 0.691
F 0.014 0.609 0.691
F 0.377 0.014 0.691
Mn 0.667 0.667 0.500
F 0.377 0.609 0.309
Sc 0.333 0.333 0.500
F 0.014 0.377 0.309

=====

Record 7
DFT (PBE with a Hubbard U) results for an optimized crystal structure of MnSe2F.

Computed properties:
Volume = 16.44 Å³/atom
Total DFT energy (no corrections) = -4.441 eV per atom
Symmetry = Fm-3m
Relative energy among the computed polymorphs = 0.174 eV per atom

abc: 4.531 4.531 4.531
angles: 60.00 60.00 60.00
Element x y z (fractional)
Mn 0.500 0.500 0.500
Se 0.250 0.250 0.250
F 0.000 0.000 0.000
Se 0.750 0.750 0.750

=====

Record 8
DFT (PBE with a Hubbard U) results for an optimized crystal structure of Mn2SeF2.

Computed properties:
Volume = 15.16 Å³/atom
Total DFT energy (no corrections) = -6.142 eV per atom
Symmetry = I4/mmm
Relative energy among the computed polymorphs = 0.000 eV per atom

abc: 3.632 3.632 6.294
angles: 73.23 73.23 90.00
Element x y z (fractional)
Se 0.000 0.000 0.000
F 0.750 0.250 0.500
F 0.250 0.750 0.500
Mn 0.364 0.364 0.273
Mn 0.636 0.636 0.727

=====

Record 9
DFT (PBE with a Hubbard U) results for an optimized crystal structure of MnSeF2.

Computed properties:
Volume = 18.14 Å³/atom
Total DFT energy (no corrections) = -4.607 eV per atom
Symmetry = R-3m
Relative energy among the computed polymorphs = 0.383 eV per atom

abc: 9.134 9.134 9.134
angles: 19.27 19.27 19.27
Element x y z (fractional)
F 0.932 0.932 0.932
F 0.068 0.068 0.068
Mn 0.000 0.000 0.000
Se 0.500 0.500 0.500

=====

Record 10
DFT (PBE with a Hubbard U) results for an optimized crystal structure of MnSe2F.

Computed properties:
Volume = 24.47 Å³/atom
Total DFT energy (no corrections) = -4.275 eV per atom
Symmetry = I-42d
Relative energy among the computed polymorphs = 0.339 eV per atom

abc: 5.720 5.720 7.221
angles: 66.67 66.67 90.00
Element x y z (fractional)
F 0.500 0.500 0.000
F 0.250 0.750 0.500
Se 0.375 0.358 0.750
Se 0.875 0.892 0.750
Se 0.108 0.625 0.250
Mn 0.750 0.250 0.500
Se 0.642 0.125 0.250
Mn 0.000 0.000 0.000

=====

Record 11
DFT (PBE with a Hubbard U) results for an optimized crystal structure of Mn2SeF2.

Computed properties:
Volume = 20.33 Å³/atom
Total DFT energy (no corrections) = -5.939 eV per atom
Symmetry = P4/mbm
Relative energy among the computed polymorphs = 0.202 eV per atom

abc: 7.341 7.341 3.772
angles: 90.00 90.00 90.00
Element x y z (fractional)
F 0.631 0.869 0.500
Mn 0.207 0.707 0.000
Mn 0.793 0.293 0.000
F 0.131 0.631 0.500
F 0.369 0.131 0.500
F 0.869 0.369 0.500
Mn 0.293 0.207 0.000
Se 0.500 0.500 0.000
Mn 0.707 0.793 0.000
Se 0.000 0.000 0.000

=====

Record 12
DFT (PBE with a Hubbard U) results for an optimized crystal structure of MnSe2F.

Computed properties:
Volume = 23.16 Å³/atom
Total DFT energy (no corrections) = -4.614 eV per atom
Symmetry = R-3m
Relative energy among the computed polymorphs = 0.000 eV per atom

abc: 7.261 7.261 7.261
angles: 31.47 31.47 31.47
Element x y z (fractional)
F 0.000 0.000 0.000
Se 0.104 0.104 0.104
Mn 0.500 0.500 0.500
Se 0.896 0.896 0.896

=====

Record 13
DFT (PBE with a Hubbard U) results for an optimized crystal structure of MnSe2F.

Computed properties:
Volume = 17.96 Å³/atom
Total DFT energy (no corrections) = -3.970 eV per atom
Symmetry = R-3m
Relative energy among the computed polymorphs = 0.644 eV per atom

abc: 9.262 9.262 9.262
angles: 18.77 18.77 18.77
Element x y z (fractional)
F 0.500 0.500 0.500
Se 0.907 0.907 0.907
Mn 0.000 0.000 0.000
Se 0.093 0.093 0.093

=====

Record 14
DFT (PBE with a Hubbard U) results for an optimized crystal structure of MnSeF3.

Computed properties:
Volume = 14.65 Å³/atom
Total DFT energy (no corrections) = -4.211 eV per atom
Symmetry = Pm-3m
Relative energy among the computed polymorphs = 0.000 eV per atom

abc: 4.184 4.184 4.184
angles: 90.00 90.00 90.00
Element x y z (fractional)
F 0.500 0.000 0.000
Mn 0.000 0.000 0.000
F 0.000 0.500 0.000
Se 0.500 0.500 0.500
F 0.000 0.000 0.500

=====

Record 15
DFT (PBE with a Hubbard U) results for an optimized crystal structure of MnSeF2.

Computed properties:
Volume = 14.59 Å³/atom
Total DFT energy (no corrections) = -4.544 eV per atom
Symmetry = Fm-3m
Relative energy among the computed polymorphs = 0.447 eV per atom

abc: 4.354 4.354 4.354
angles: 60.00 60.00 60.00
Element x y z (fractional)
F 0.250 0.250 0.250
F 0.750 0.750 0.750
Mn 0.000 0.000 0.000
Se 0.500 0.500 0.500

=====

Record 16
DFT (PBE with a Hubbard U) results for an optimized crystal structure of MnSeF2.

Computed properties:
Volume = 20.02 Å³/atom
Total DFT energy (no corrections) = -4.990 eV per atom
Symmetry = I-42d
Relative energy among the computed polymorphs = 0.000 eV per atom

abc: 6.384 6.384 5.985
angles: 57.77 57.77 90.00
Element x y z (fractional)
F 0.375 0.517 0.750
Mn 0.250 0.750 0.500
F 0.875 0.733 0.750
Se 0.750 0.250 0.500
Se 0.000 0.000 0.000
Mn 0.500 0.500 0.000
F 0.483 0.125 0.250
F 0.267 0.625 0.250

=====

Record 17
DFT (PBE with a Hubbard U) results for an optimized crystal structure of MnSeF.

Computed properties:
Volume = 20.14 Å³/atom
Total DFT energy (no corrections) = -5.593 eV per atom
Symmetry = P3m1

abc: 6.048 3.397 3.397
angles: 120.00 90.00 90.00
Element x y z (fractional)
Mn 0.045 0.000 0.000
F 0.204 0.333 0.667
Se 0.752 0.667 0.333

=====

Record 18
DFT (PBE with a Hubbard U) results for an optimized crystal structure of MnSeF3.

Computed properties:
Volume = 18.03 Å³/atom
Total DFT energy (no corrections) = -4.051 eV per atom
Symmetry = Pm-3m
Relative energy among the computed polymorphs = 0.161 eV per atom

abc: 4.484 4.484 4.484
angles: 90.00 90.00 90.00
Element x y z (fractional)
F 0.000 0.500 0.000
Se 0.000 0.000 0.000
F 0.500 0.000 0.000
F 0.000 0.000 0.500
Mn 0.500 0.500 0.500

=====

Record 19
DFT (PBE with a Hubbard U) results for an optimized crystal structure of MnSnSeF2.

Computed properties:
Volume = 19.68 Å³/atom
Total DFT energy (no corrections) = -5.335 eV per atom
Symmetry = P4/mmm

abc: 4.211 4.211 5.551
angles: 90.00 90.00 90.00
Element x y z (fractional)
F 0.500 0.000 0.000
F 0.000 0.500 0.000
Mn 0.000 0.000 0.000
Sn 0.500 0.500 0.500
Se 0.000 0.000 0.500

=====

Record 20
DFT (PBE with a Hubbard U) results for an optimized crystal structure of Mn2SiF8.

Computed properties:
Volume = 12.33 Å³/atom
Total DFT energy (no corrections) = -6.063 eV per atom
Symmetry = C2/m
Relative energy among the computed polymorphs = 0.000 eV per atom

abc: 4.374 5.707 5.707
angles: 72.14 90.35 90.35
Element x y z (fractional)
Mn 0.753 0.369 0.369
F 0.259 0.398 0.398
Si 0.000 0.000 0.000
Mn 0.247 0.631 0.631
F 0.205 0.909 0.270
F 0.746 0.141 0.141
F 0.205 0.270 0.909
F 0.795 0.091 0.730
F 0.254 0.859 0.859
F 0.795 0.730 0.091
F 0.741 0.602 0.602